one:
VASP calculation (PBE) on a geometry-optimized BaYI2 structure.

## Properties
For the total moment, the calculation gives 0.000 μB per atom. Its symmetry is R-3m.

abc: 4.1366 4.1366 11.5895
angles: 79.72 79.72 60.00
Fractional positions:
Y: 0.5000 0.5000 0.5000
I: 0.8934 0.8934 0.3197
I: 0.1066 0.1066 0.6803
Ba: 0.0000 0.0000 0.0000

two:
VASP calculation (PBE) on a geometry-optimized BaYI2 structure.

## Properties
For the total moment, the calculation gives 0.318 μB per atom. Its symmetry is I-42d.

abc: 5.8816 5.8816 11.2390
angles: 74.83 74.83 90.00
Each line ends with the local moment (μB).
Fractional positions:
I: 0.3750 0.4201 0.7500  0.01
I: 0.5799 0.1250 0.2500  0.01
I: 0.1701 0.6250 0.2500  0.01
I: 0.8750 0.8299 0.7500  0.01
Y: 0.5000 0.5000 0.0000  0.35
Y: 0.2500 0.7500 0.5000  0.36
Ba: 0.0000 0.0000 0.0000  0.11
Ba: 0.7500 0.2500 0.5000  0.10

three:
VASP calculation (PBE) on a geometry-optimized BaYI2 structure.

## Properties
For the total moment, the calculation gives 0.000 μB per atom. Its symmetry is Fm-3m.

abc: 5.7260 5.7260 5.7260
angles: 60.00 60.00 60.00
Fractional positions:
I: 0.2500 0.2500 0.2500
I: 0.7500 0.7500 0.7500
Y: 0.0000 0.0000 0.0000
Ba: 0.5000 0.5000 0.5000

Most stable: one. Least stable: two.